1.
The following is a DFT calculation (PBE-GGA) of crystalline Pm2Nd3Ho3 at its relaxed geometry.

The volume is 33.357 Å³ per atom. Its density of states at the Fermi level is 1.524 states/eV/atom. The calculation puts the total moment at 0.00 μB/atom. The total energy is -4.674 eV/atom. For the theoretical density, the calculation gives 7.58 g/cm3. As for the energy relative to the lowest polymorph listed for this composition: 0.000 kcal/mol of atoms. The value obtained for the formation energy is 0.02 eV per atom.

The structure belongs to space group Immm (No. 71); the cell edges are 5.0994, 5.1186 and 20.4476 Å and the angles 90.00°, 90.00° and 90.00°. The distinct sites, in fractional coordinates, are Pm at (0.0000, 0.0000, 0.2496), Nd at (0.0000, 0.0000, 0.0000), Nd at (0.0000, 0.5000, 0.1236), Ho at (0.0000, 0.0000, 0.5000) and Ho at (0.0000, 0.5000, 0.3753).

2.
The following is a DFT calculation (PBE-GGA) of crystalline PmNdHo5 at its relaxed geometry.

The volume is 32.625 Å³ per atom. Its density of states at the Fermi level is 1.359 states/eV/atom. The calculation puts the total moment at 0.00 μB/atom. The total energy is -4.437 eV/atom. For the theoretical density, the calculation gives 8.10 g/cm3. As for the energy relative to the lowest polymorph listed for this composition: 0.000 kcal/mol of atoms. The value obtained for the formation energy is 0.19 eV per atom.

The structure belongs to space group C2/c (No. 15); the cell edges are 11.6883, 6.8127 and 12.1421 Å and the angles 90.00°, 109.13° and 90.00°. The distinct sites, in fractional coordinates, are Pm at (0.0000, 0.0262, 0.2500), Nd at (0.2500, 0.2500, 0.0000), Ho at (0.0000, 0.4133, 0.7500), Ho at (0.0767, 0.2746, 0.4985) and Ho at (0.2212, 0.3593, 0.2531).

3.
The following is a DFT calculation (PBE-GGA) of crystalline Pm4Nd7Ho at its relaxed geometry.

The volume is 34.732 Å³ per atom. Its density of states at the Fermi level is 1.286 states/eV/atom. The calculation puts the total moment at 0.00 μB/atom. The total energy is -4.735 eV/atom. For the theoretical density, the calculation gives 6.99 g/cm3. As for the energy relative to the lowest polymorph listed for this composition: 0.000 kcal/mol of atoms. The value obtained for the formation energy is 0.01 eV per atom.

The structure belongs to space group P-1 (No. 2); the cell edges are 6.3767, 7.3710 and 9.1204 Å and the angles 89.95°, 76.47° and 89.99°. The distinct sites, in fractional coordinates, are Pm at (0.2233, 0.0002, 0.3330), Pm at (0.2772, 0.7493, 0.6696), Nd at (0.0000, 0.0000, 0.0000), Nd at (0.2216, 0.5002, 0.3326), Nd at (0.2777, 0.2502, 0.6692), Nd at (0.5002, 0.2509, 0.0003) and Ho at (0.0000, 0.5000, 0.0000).

4.
The following is a DFT calculation (PBE-GGA) of crystalline Pm2Nd7Ho at its relaxed geometry.

The volume is 41.271 Å³ per atom. Its density of states at the Fermi level is 1.585 states/eV/atom. The calculation puts the total moment at 0.00 μB/atom. The total energy is -4.122 eV/atom. For the theoretical density, the calculation gives 5.89 g/cm3. The value obtained for the formation energy is 0.62 eV per atom.

The structure belongs to space group Cmmm (No. 65); the cell edges are 8.7898, 17.0724 and 5.5005 Å and the angles 90.00°, 90.00° and 90.00°. The distinct sites, in fractional coordinates, are Pm at (0.0000, 0.2051, 0.0000), Nd at (0.0000, 0.0000, 0.0000), Nd at (0.0000, 0.2879, 0.5000), Nd at (0.1805, 0.3902, 0.0000) and Ho at (0.0000, 0.5000, 0.5000).

5.
The following is a DFT calculation (PBE-GGA) of crystalline PmNd12Ho2 at its relaxed geometry.

The volume is 36.609 Å³ per atom. Its density of states at the Fermi level is 1.180 states/eV/atom. The calculation puts the total moment at 0.00 μB/atom. The total energy is -4.431 eV/atom. For the theoretical density, the calculation gives 6.67 g/cm3. The value obtained for the formation energy is 0.31 eV per atom.

The structure belongs to space group P4/nbm (No. 125, origin choice 2); the cell edges are 6.5569, 6.5569 and 25.5455 Å and the angles 90.00°, 90.00° and 90.00°. The distinct sites, in fractional coordinates, are Pm at (0.2500, 0.7500, 0.0000), Nd at (0.0674, 0.5674, 0.1152), Nd at (0.0818, 0.5818, 0.4377), Nd at (0.2500, 0.2500, 0.2161), Nd at (0.2500, 0.2500, 0.3377) and Ho at (0.2500, 0.7500, 0.2737).

6.
The following is a DFT calculation (PBE-GGA) of crystalline Pm4Nd7Ho at its relaxed geometry.

The volume is 35.294 Å³ per atom. Its density of states at the Fermi level is 1.594 states/eV/atom. The calculation puts the total moment at 0.04 μB/atom. The total energy is -4.535 eV/atom. For the theoretical density, the calculation gives 6.88 g/cm3. As for the energy relative to the lowest polymorph listed for this composition: 4.610 kcal/mol of atoms. The value obtained for the formation energy is 0.21 eV per atom.

The structure belongs to space group C2/m (No. 12); the cell edges are 16.4304, 6.0825 and 9.4275 Å and the angles 90.00°, 115.97° and 90.00°. The distinct sites, in fractional coordinates, are Pm at (0.0737, 0.0000, 0.1994), Pm at (0.1734, 0.0000, 0.8891), Nd at (0.0000, 0.0000, 0.5000), Nd at (0.0812, 0.5000, 0.9366), Nd at (0.2076, 0.5000, 0.7241), Nd at (0.2085, 0.5000, 0.3757) and Ho at (0.0000, 0.5000, 0.5000).

7.
The following is a DFT calculation (PBE-GGA) of crystalline Pm5Nd2Ho5 at its relaxed geometry.

The volume is 33.056 Å³ per atom. Its density of states at the Fermi level is 1.465 states/eV/atom. The calculation puts the total moment at 0.00 μB/atom. The total energy is -4.665 eV/atom. For the theoretical density, the calculation gives 7.69 g/cm3. The value obtained for the formation energy is 0.02 eV per atom.

The structure belongs to space group C2/m (No. 12); the cell edges are 15.2932, 5.0842 and 11.4116 Å and the angles 90.00°, 116.60° and 90.00°. The distinct sites, in fractional coordinates, are Pm at (0.0000, 0.0000, 0.0000), Pm at (0.1658, 0.0000, 0.4992), Pm at (0.2487, 0.0000, 0.2478), Nd at (0.0828, 0.0000, 0.7510), Ho at (0.0000, 0.5000, 0.5000), Ho at (0.0831, 0.5000, 0.2492) and Ho at (0.1670, 0.5000, 0.0007).

8.
The following is a DFT calculation (PBE-GGA) of crystalline PmNd4Ho7 at its relaxed geometry.

The volume is 33.012 Å³ per atom. Its density of states at the Fermi level is 1.632 states/eV/atom. The calculation puts the total moment at 0.00 μB/atom. The total energy is -4.570 eV/atom. For the theoretical density, the calculation gives 7.87 g/cm3. As for the energy relative to the lowest polymorph listed for this composition: 0.000 kcal/mol of atoms. The value obtained for the formation energy is 0.09 eV per atom.

The structure belongs to space group P-1 (No. 2); the cell edges are 6.5948, 6.8733 and 9.0813 Å and the angles 84.61°, 77.21° and 81.43°. The distinct sites, in fractional coordinates, are Pm at (0.0000, 0.0000, 0.0000), Nd at (0.1644, 0.6134, 0.3095), Nd at (0.3621, 0.1926, 0.7137), Ho at (0.0000, 0.5000, 0.0000), Ho at (0.1864, 0.1054, 0.3828), Ho at (0.3202, 0.7008, 0.6430) and Ho at (0.4871, 0.2491, 0.0489).

9.
The following is a DFT calculation (PBE-GGA) of crystalline PmNd5Ho5 at its relaxed geometry.

The volume is 34.283 Å³ per atom. Its density of states at the Fermi level is 1.397 states/eV/atom. The calculation puts the total moment at 0.00 μB/atom. The total energy is -4.536 eV/atom. For the theoretical density, the calculation gives 7.45 g/cm3. As for the energy relative to the lowest polymorph listed for this composition: 0.000 kcal/mol of atoms. The value obtained for the formation energy is 0.14 eV per atom.

The structure belongs to space group P-1 (No. 2); the cell edges are 6.9620, 7.0230 and 8.4779 Å and the angles 75.38°, 76.80° and 72.41°. The distinct sites, in fractional coordinates, are Pm at (0.0000, 0.0000, 0.0000), Nd at (0.0000, 0.5000, 0.0000), Nd at (0.1587, 0.1324, 0.3580), Nd at (0.3623, 0.7386, 0.7318), Ho at (0.2011, 0.6426, 0.3158), Ho at (0.3284, 0.2714, 0.6525) and Ho at (0.5000, 0.0000, 0.0000).

10.
The following is a DFT calculation (PBE-GGA) of crystalline PmNd3Ho3 at its relaxed geometry.

The volume is 33.610 Å³ per atom. Its density of states at the Fermi level is 1.738 states/eV/atom. The calculation puts the total moment at 0.00 μB/atom. The total energy is -4.659 eV/atom. For the theoretical density, the calculation gives 7.57 g/cm3. As for the energy relative to the lowest polymorph listed for this composition: 0.000 kcal/mol of atoms. The value obtained for the formation energy is 0.02 eV per atom.

The structure belongs to space group P6_3/m (No. 176); the cell edges are 9.6837, 9.6837 and 5.7940 Å and the angles 90.00°, 90.00° and 120.00°. The distinct sites, in fractional coordinates, are Pm at (0.3333, 0.6667, 0.2500), Nd at (0.0956, 0.4743, 0.7500) and Ho at (0.0459, 0.2329, 0.2500).

11.
The following is a DFT calculation (PBE-GGA) of crystalline Pm8Nd3Ho3 at its relaxed geometry.

The volume is 34.251 Å³ per atom. Its density of states at the Fermi level is 1.418 states/eV/atom. The calculation puts the total moment at 0.00 μB/atom. The total energy is -4.618 eV/atom. For the theoretical density, the calculation gives 7.23 g/cm3. The value obtained for the formation energy is 0.10 eV per atom.

The structure belongs to space group Immm (No. 71); the cell edges are 5.7412, 10.9387 and 15.2709 Å and the angles 90.00°, 90.00° and 90.00°. The distinct sites, in fractional coordinates, are Pm at (0.0000, 0.1595, 0.2215), Pm at (0.0000, 0.3386, 0.3970), Nd at (0.0000, 0.0000, 0.5000), Nd at (0.0000, 0.5000, 0.1803), Ho at (0.0000, 0.0000, 0.0000) and Ho at (0.0000, 0.2984, 0.0000).

12.
The following is a DFT calculation (PBE-GGA) of crystalline Pm5Nd2Ho4 at its relaxed geometry.

The volume is 34.697 Å³ per atom. Its density of states at the Fermi level is 1.450 states/eV/atom. The calculation puts the total moment at 0.00 μB/atom. The total energy is -4.511 eV/atom. For the theoretical density, the calculation gives 7.28 g/cm3. As for the energy relative to the lowest polymorph listed for this composition: 0.896 kcal/mol of atoms. The value obtained for the formation energy is 0.18 eV per atom.

The structure belongs to space group Immm (No. 71); the cell edges are 3.5364, 9.1649 and 23.5521 Å and the angles 90.00°, 90.00° and 90.00°. The distinct sites, in fractional coordinates, are Pm at (0.0000, 0.0000, 0.0000), Pm at (0.0000, 0.3018, 0.3567), Nd at (0.0000, 0.5000, 0.2318), Ho at (0.0000, 0.1868, 0.5000) and Ho at (0.0000, 0.5000, 0.0964).

Q: What is the theoretical density in the third record?
A: 6.99 g/cm3

Q: What is the total energy in the eighth record?
A: -4.570 eV/atom

Q: Look up the total moment of the first one.
A: 0.00 μB/atom

Q: The lowest theoretical density belongs to which entry?
A: Pm2Nd7Ho